Below is crystalline Hf3GaRh4 at its relaxed geometry, with properties calculated at the GGA-PBE level.

extended XYZ file:
```
16
Lattice="9.267 0.000 0.000 0.000 6.184 0.000 0.000 0.000 4.649" Properties=species:S:1:pos:R:3 pbc="T T T"
Hf 0.000 0.000 0.000
Hf 2.317 0.000 2.231
Hf 2.317 3.092 2.151
Hf 4.634 0.000 0.000
Hf 6.950 0.000 2.418
Hf 6.950 3.092 2.498
Ga 0.000 3.092 0.000
Ga 4.634 3.092 0.000
Rh 0.000 1.543 2.324
Rh 0.000 4.641 2.324
Rh 2.317 1.558 4.477
Rh 2.317 4.626 4.477
Rh 4.634 1.543 2.324
Rh 4.634 4.641 2.324
Rh 6.950 1.558 0.172
Rh 6.950 4.626 0.172
```

The calculation puts the density of states at the Fermi level at 9.613 states/eV/cell. As for the space-group type: No. 51. Its energy of formation from the pure elements is -0.862 eV/atom.